Record 1
Computed, not measured: a geometry-optimized Ho8CoAu2 structure at the PBE level of DFT.

abc: 17.210 5.101 6.710
angles: 90.00 105.67 90.00
Space group C2/m (No. 12)
Unique sites:
1 Ho 0.028 0.000 0.290
2 Ho 0.089 0.500 0.933
3 Ho 0.157 0.500 0.467
4 Ho 0.203 0.000 0.812
5 Co 0.000 0.500 0.500
6 Au 0.188 0.000 0.225

Summary:
Its total magnetization is 0.000 μB/atom. As for the total energy: -4.928 eV/atom.


Record 2
Computed, not measured: a geometry-optimized PrNbBi2 structure at the PBE level of DFT.

abc: 3.5309 3.5309 32.8595
angles: 90.00 90.00 120.00
Space group R-3m (No. 166, hexagonal axes)
Unique sites:
1 Pr 0.0000 0.0000 0.0000
2 Nb 0.0000 0.0000 0.5000
3 Bi 0.0000 0.0000 0.1016

Summary:
Its total magnetization is 0.025 μB/atom. As for the total energy: -5.520 eV/atom.


Record 3
Computed, not measured: a geometry-optimized MnNb2ZnN structure at the PBE level of DFT.

abc: 4.271 4.271 3.757
angles: 90.00 90.00 90.00
Space group P4/mmm (No. 123)
Unique sites:
1 Mn 0.000 0.000 0.000
2 Nb 0.000 0.500 0.500
3 Zn 0.500 0.500 0.000
4 N 0.000 0.000 0.500

Summary:
Its total magnetization is 0.000 μB/atom. As for the total energy: -8.125 eV/atom.